Compound: EuCuAg4
Source: Alexandria
Functional: PBE
Structure: optimized geometry

Values from the calculation:
**Theoretical density**: 8.7 Mg/m³
**Total energy**: -4.32 eV/atom
**E_form**: -0.02 eV/atom
**Total moment**: 1.27 μB per atom
**V**: 124 Å³/f.u.

abc: 7.9122 7.9122 7.9122
angles: 90.00 90.00 90.00
Space group F-43m (No. 216)
Unique sites:
Eu (0.0000, 0.0000, 0.0000)
Cu (0.2500, 0.2500, 0.2500)
Ag (0.1244, 0.1244, 0.6244)

***

Compound: Eu2CuAg
Source: Alexandria
Functional: PBE
Structure: optimized geometry

Values from the calculation:
**Theoretical density**: 6.0 Mg/m³
**Total energy**: -6.58 eV/atom
**E_form**: 0.29 eV/atom
**Total moment**: 3.64 μB per atom
**V**: 132 Å³/f.u.

abc: 3.9330 3.9330 29.5243
angles: 90.00 90.00 120.00
Space group R-3m (No. 166, hexagonal axes)
Unique sites:
Eu (0.0000, 0.0000, 0.1041)
Cu (0.0000, 0.0000, 0.5000)
Ag (0.0000, 0.0000, 0.0000)

***

Compound: EuCuAg2
Source: Alexandria
Functional: PBE
Structure: optimized geometry

Values from the calculation:
**Theoretical density**: 7.8 Mg/m³
**Total energy**: -5.12 eV/atom
**E_form**: -0.10 eV/atom
**Total moment**: 1.78 μB per atom
**V**: 92 Å³/f.u.

abc: 4.5408 4.5408 15.3762
angles: 90.00 90.00 120.00
Space group R-3m (No. 166, hexagonal axes)
Unique sites:
Eu (0.0000, 0.0000, 0.0000)
Cu (0.0000, 0.0000, 0.5000)
Ag (0.0000, 0.0000, 0.2065)

***

Compound: EuInCuAg
Source: Alexandria
Functional: PBE
Structure: optimized geometry

Values from the calculation:
**Theoretical density**: 8.3 Mg/m³
**Total energy**: -5.16 eV/atom
**E_form**: -0.17 eV/atom
**Total moment**: 1.76 μB per atom
**V**: 88 Å³/f.u.

abc: 7.0521 7.0521 7.0521
angles: 90.00 90.00 90.00
Space group F-43m (No. 216)
Unique sites:
Eu (0.0000, 0.0000, 0.0000)
In (0.0000, 0.0000, 0.5000)
Cu (0.2500, 0.2500, 0.2500)
Ag (0.2500, 0.2500, 0.7500)

***

Compound: NdEuCuAg
Source: Alexandria
Functional: PBE
Structure: optimized geometry

Values from the calculation:
**Theoretical density**: 7.7 Mg/m³
**Total energy**: -5.67 eV/atom
**E_form**: -0.17 eV/atom
**Total moment**: 1.76 μB per atom
**V**: 101 Å³/f.u.

abc: 7.4010 7.4010 7.4010
angles: 90.00 90.00 90.00
Space group F-43m (No. 216)
Unique sites:
Nd (0.0000, 0.0000, 0.0000)
Eu (0.0000, 0.0000, 0.5000)
Cu (0.2500, 0.2500, 0.2500)
Ag (0.2500, 0.2500, 0.7500)

***

Compound: PrEuCuAg
Source: Alexandria
Functional: PBE
Structure: optimized geometry

Values from the calculation:
**Theoretical density**: 7.5 Mg/m³
**Total energy**: -5.67 eV/atom
**E_form**: -0.17 eV/atom
**Total moment**: 1.77 μB per atom
**V**: 103 Å³/f.u.

abc: 7.4319 7.4319 7.4319
angles: 90.00 90.00 90.00
Space group F-43m (No. 216)
Unique sites:
Pr (0.0000, 0.0000, 0.0000)
Eu (0.0000, 0.0000, 0.5000)
Cu (0.2500, 0.2500, 0.2500)
Ag (0.2500, 0.2500, 0.7500)